# 1
A plane-wave DFT calculation with PBEsol was carried out for a relaxed LiHf3Ni crystal.

Cell lengths 4.790, 4.790, 4.790 Å; angles 90.00, 90.00, 90.00 degrees
Last column: magnetic moment on the atom in μB.
Fractional coordinates of all 5 atoms:
Ni 0.000 0.000 0.000  0.03
Hf 0.000 0.500 0.000  0.10
Hf 0.000 0.000 0.500  0.10
Hf 0.500 0.000 0.000  0.10
Li 0.500 0.500 0.500  0.01

Summary:
N(E_F) = 1.997 states/eV/atom
V = 22.0 Å³/atom
size of the total moment = 0.65 μB per formula unit
energy of formation from the pure elements = 0.45 eV/atom

---

# 2
A plane-wave DFT calculation with PBEsol was carried out for a relaxed HgAs4Ru crystal.

Cell lengths 5.417, 5.417, 5.417 Å; angles 60.00, 60.00, 60.00 degrees
Last column: magnetic moment on the atom in μB.
Fractional coordinates of all 6 atoms:
Ru 0.000 0.000 0.000  1.15
As 0.376 0.376 0.376  0.02
As 0.376 0.376 0.873  0.02
As 0.873 0.376 0.376  0.02
As 0.376 0.873 0.376  0.02
Hg 0.750 0.750 0.750  0.02

Summary:
N(E_F) = 0.953 states/eV/atom
V = 18.7 Å³/atom
size of the total moment = 1.39 μB per formula unit
energy of formation from the pure elements = 0.79 eV/atom